Y2ZnMo | GGA-PBE | relaxed

Cell: 9.387 9.387 9.387 Å, 21.13 21.13 21.13°
Sites, in units of the cell vectors:
Y (0.248, 0.248, 0.248)
Y (0.752, 0.752, 0.752)
Zn (0.000, 0.000, 0.000)
Mo (0.500, 0.500, 0.500)

The calculation puts the total magnetic moment at 0.328 μB per atom. The density of states at the Fermi level is 4.99 states/eV/f.u. The symmetry is R-3m, No. 166. As for the formation energy: 0.31 eV per atom.